The following is a DFT calculation (PBE+U) of PmBeCrO4 after structural relaxation.

Unit cell a=6.0352 b=6.4227 c=6.4227 alpha=73.18 beta=61.98 gamma=61.98
With the nearest neighbours (Å) after each atom.
Element x y z (fractional)
Pm1 0.0000 0.0000 0.0000  6 O 2.37-2.43
Pm2 0.0000 0.5000 0.5000  6 O 2.37-2.43
Be1 0.4664 0.7836 0.2836  2 O 1.54
Be2 0.5336 0.2164 0.7164  2 O 1.54
Cr1 0.5000 0.0000 0.5000  6 O 2.00-2.06
Cr2 0.0000 0.0000 0.5000  6 O 2.00-2.06
O1 0.7261 0.8553 0.6925  2 Cr 2.00, 1 Be 2.06
O2 0.2739 0.8075 0.6447  2 Cr 2.00, 1 Be 2.06
O3 0.7261 0.1925 0.3553  2 Cr 2.00, 1 Be 2.06
O4 0.2739 0.1447 0.3075  2 Cr 2.00, 1 Be 2.06
O5 0.2436 0.7540 0.2540  1 Be 1.54
O6 0.7484 0.7540 0.2540  1 Be 1.54
O7 0.2516 0.2460 0.7460  1 Be 1.54
O8 0.7564 0.2460 0.7460  1 Be 1.54

Output
As for the density of states at the Fermi level: 0.000 states/eV per atom. Its calculated total energy is -7.55 eV per atom. The symmetry is Imma.